Material: BeAlTcMo
Method: DFT, PBE
State: optimized geometry

abc: 5.985 5.985 5.985
angles: 90.00 90.00 90.00
Element x y z (fractional)
Be 0.000 0.000 0.000
Be 0.000 0.500 0.500
Be 0.500 0.000 0.500
Be 0.500 0.500 0.000
Al 0.000 0.000 0.500
Al 0.000 0.500 0.000
Al 0.500 0.000 0.000
Al 0.500 0.500 0.500
Tc 0.250 0.250 0.250
Tc 0.250 0.750 0.750
Tc 0.750 0.250 0.750
Tc 0.750 0.750 0.250
Mo 0.250 0.250 0.750
Mo 0.250 0.750 0.250
Mo 0.750 0.250 0.250
Mo 0.750 0.750 0.750

Calculated values
ΔE to the lowest computed polymorph: 309.4 meV per atom



Material: BeNbCuPd
Method: DFT, PBE
State: optimized geometry

abc: 6.063 6.063 6.063
angles: 90.00 90.00 90.00
Element x y z (fractional)
Be 0.000 0.000 0.000
Be 0.000 0.500 0.500
Be 0.500 0.000 0.500
Be 0.500 0.500 0.000
Nb 0.000 0.000 0.500
Nb 0.000 0.500 0.000
Nb 0.500 0.000 0.000
Nb 0.500 0.500 0.500
Cu 0.250 0.250 0.250
Cu 0.250 0.750 0.750
Cu 0.750 0.250 0.750
Cu 0.750 0.750 0.250
Pd 0.250 0.250 0.750
Pd 0.250 0.750 0.250
Pd 0.750 0.250 0.250
Pd 0.750 0.750 0.750

Calculated values
ΔE to the lowest computed polymorph: 26.6 meV per atom



Material: Pr2Sn6Pd
Method: DFT, PBE
State: optimized geometry

abc: 12.075 12.075 4.554
angles: 90.00 90.00 158.65
Element x y z (fractional)
Pr 0.175 0.825 0.000
Pr 0.825 0.175 0.000
Sn 0.071 0.929 0.500
Sn 0.292 0.708 0.500
Sn 0.430 0.570 0.000
Sn 0.570 0.430 0.000
Sn 0.708 0.292 0.500
Sn 0.929 0.071 0.500
Pd 0.500 0.500 0.500

Calculated values
Raw total energy: -4.88 eV/atom



Material: HfCuReB
Method: DFT, PBE
State: optimized geometry

abc: 6.060 6.060 6.060
angles: 90.00 90.00 90.00
Element x y z (fractional)
Hf 0.000 0.000 0.000
Hf 0.000 0.500 0.500
Hf 0.500 0.000 0.500
Hf 0.500 0.500 0.000
Cu 0.250 0.250 0.750
Cu 0.250 0.750 0.250
Cu 0.750 0.250 0.250
Cu 0.750 0.750 0.750
Re 0.250 0.250 0.250
Re 0.250 0.750 0.750
Re 0.750 0.250 0.750
Re 0.750 0.750 0.250
B 0.000 0.000 0.500
B 0.000 0.500 0.000
B 0.500 0.000 0.000
B 0.500 0.500 0.500

Calculated values
ΔE to the lowest computed polymorph: 0.0 meV per atom



Material: Gd2Cl3
Method: DFT, PBE
State: optimized geometry

abc: 7.998 7.998 10.310
angles: 117.66 117.66 28.18
Element x y z (fractional)
Gd 0.088 0.088 0.449
Gd 0.362 0.362 0.208
Gd 0.638 0.638 0.792
Gd 0.912 0.912 0.551
Cl 0.160 0.160 0.008
Cl 0.273 0.273 0.382
Cl 0.455 0.455 0.764
Cl 0.545 0.545 0.236
Cl 0.727 0.727 0.618
Cl 0.840 0.840 0.992

Calculated values
Raw total energy: -4.81 eV/atom



Material: CdCuB4
Method: DFT, PBE
State: optimized geometry

abc: 3.037 5.290 7.510
angles: 90.00 90.00 90.00
Element x y z (fractional)
Cd 0.000 0.000 0.000
Cd 0.500 0.500 0.500
Cu 0.000 0.000 0.500
Cu 0.500 0.500 0.000
B 0.000 0.335 0.245
B 0.000 0.335 0.755
B 0.000 0.665 0.245
B 0.000 0.665 0.755
B 0.500 0.165 0.255
B 0.500 0.165 0.745
B 0.500 0.835 0.255
B 0.500 0.835 0.745

Calculated values
ΔE to the lowest computed polymorph: 43.6 meV per atom